PbAuSe2N: relaxed, PBEsol.

SG	No. 123
raw formation energy	600	meV per atom

Cell: 3.7847 5.3107 5.3107 Å, 90.00 90.00 90.00°
Each line ends with the local moment (μB).
Positions (direct):
Se 0.0000 0.0000 0.5000  -0.01
Se 0.0000 0.5000 0.0000  -0.01
Au 0.0000 0.0000 0.0000  -0.01
N 0.5000 0.0000 0.0000  -0.07
Pb 0.5000 0.5000 0.5000  0.00

Pd3AuN: relaxed, PBEsol.

SG	No. 221
raw formation energy	2238	meV per atom

Cell: 4.9203 4.9203 4.9203 Å, 90.00 90.00 90.00°
Each line ends with the local moment (μB).
Positions (direct):
N 0.5000 0.5000 0.5000  1.72
Pd 0.0000 0.0000 0.5000  0.14
Pd 0.0000 0.5000 0.0000  0.14
Pd 0.5000 0.0000 0.0000  0.14
Au 0.0000 0.0000 0.0000  0.03

PdRhAuN2: relaxed, PBEsol.

SG	No. 123
raw formation energy	1087	meV per atom

Cell: 3.7102 3.7102 5.2637 Å, 90.00 90.00 90.00°
Positions (direct):
N 0.5000 0.0000 0.0000
N 0.0000 0.5000 0.0000
Pd 0.0000 0.0000 0.5000
Au 0.5000 0.5000 0.5000
Rh 0.0000 0.0000 0.0000

PdAuS2N: relaxed, PBEsol.

SG	No. 123
raw formation energy	960	meV per atom

Cell: 3.5794 4.8308 4.8308 Å, 90.00 90.00 90.00°
Positions (direct):
Au 0.5000 0.5000 0.5000
S 0.0000 0.0000 0.5000
S 0.0000 0.5000 0.0000
Pd 0.0000 0.0000 0.0000
N 0.5000 0.0000 0.0000

PdAuSeN2: relaxed, PBEsol.

SG	No. 123
raw formation energy	1344	meV per atom

Cell: 3.7476 3.7476 5.6857 Å, 90.00 90.00 90.00°
Positions (direct):
Se 0.0000 0.0000 0.5000
N 0.5000 0.0000 0.0000
N 0.0000 0.5000 0.0000
Pd 0.0000 0.0000 0.0000
Au 0.5000 0.5000 0.5000

PtAuS2N: relaxed, PBEsol.

SG	No. 123
raw formation energy	823	meV per atom

Cell: 3.5947 4.8762 4.8762 Å, 90.00 90.00 90.00°
Positions (direct):
Au 0.5000 0.5000 0.5000
S 0.0000 0.5000 0.0000
S 0.0000 0.0000 0.5000
Pt 0.0000 0.0000 0.0000
N 0.5000 0.0000 0.0000

Te2PtAuN: relaxed, PBEsol.

SG	No. 123
raw formation energy	1128	meV per atom

Cell: 3.6180 5.4671 5.4671 Å, 90.00 90.00 90.00°
Positions (direct):
Pt 0.5000 0.5000 0.5000
Te 0.0000 0.0000 0.5000
Te 0.0000 0.5000 0.0000
Au 0.0000 0.0000 0.0000
N 0.5000 0.0000 0.0000

Rb2AuN2: relaxed, PBEsol.

SG	No. 127
raw formation energy	-123	meV per atom

Cell: 3.6331 8.2014 8.2014 Å, 90.00 90.00 90.00°
Each line ends with the local moment (μB).
Positions (direct):
Au 0.0000 0.5000 0.5000  0.01
Au 0.0000 0.0000 0.0000  0.01
Rb 0.5000 0.2691 0.2309  0.02
Rb 0.5000 0.7309 0.7691  0.02
Rb 0.5000 0.7691 0.2691  0.02
Rb 0.5000 0.2309 0.7309  0.02
N 0.0000 0.4493 0.9493  0.22
N 0.0000 0.5507 0.0507  0.22
N 0.0000 0.9493 0.5507  0.22
N 0.0000 0.0507 0.4493  0.22